# 1
Entry from the Alexandria database: an optimized crystal structure of Pm7Si2Ag2 (PBE).

Uncorrected formation energy = -0.024 eV/atom
Volume = 317.91 Å³ per cell

Cell lengths 6.6707, 6.6707, 7.5825 Å; angles 90.00, 90.00, 109.58 degrees
Positions (direct):
Pm  0.0000  0.0000  0.0000
Pm  0.0000  0.5000  0.2977
Pm  0.0000  0.5000  0.7023
Pm  0.5000  0.0000  0.2977
Pm  0.5000  0.0000  0.7023
Pm  0.5000  0.5000  0.2719
Pm  0.5000  0.5000  0.7281
Si  0.1595  0.1595  0.5000
Si  0.8405  0.8405  0.5000
Ag  0.2882  0.7118  0.0000
Ag  0.7118  0.2882  0.0000



# 2
Entry from the Alexandria database: an optimized crystal structure of MoRhBr2 (PBE).

Distance to the lowest polymorph of the same formula = 857.5 meV per atom
Uncorrected formation energy = 0.851 eV/atom
Volume = 188.14 Å³ per cell

Cell lengths 6.9599, 6.9599, 6.9599 Å; angles 130.94, 130.94, 71.90 degrees
Positions (direct):
Mo  0.0000  0.0000  0.0000
Mo  0.7500  0.2500  0.5000
Rh  0.2500  0.7500  0.5000
Rh  0.5000  0.5000  0.0000
Br  0.1214  0.6250  0.9964
Br  0.3750  0.3714  0.4964
Br  0.6286  0.1250  0.0036
Br  0.8750  0.8786  0.5036